Below is a geometry-optimized TlCdRh structure, with properties calculated at the GGA-PBEsol level.

Geometry as POSCAR:
```
TlCdRh
1.0
3.120 0.000 0.000
0.000 4.544 0.000
0.000 -2.272 3.935
Cd Rh Tl
1 1 1
direct
0.997 0.000 0.000
0.606 0.333 0.667
0.396 0.667 0.333
```

Summary:
Magnetization (μB per cell): 0.00
Formation energy from the elements (eV per formula unit): 0.44
V (Å³ per cell): 55.8
Excess energy over the best structure of this formula in the dataset (kJ/mol of formula units): 15